Record 1
14
Lattice="-2.889 3.019 4.505 2.889 -3.019 4.505 2.889 3.019 -4.505" Properties=species:S:1:pos:R:3 comment="LiGePdO4 | Alexandria | PBE | optimized geometry" total_energy_ev_per_atom=-5.802 raw_formation_energy_kcal_per_mol_atoms=-29.8 dos_ef_per_ev_cell=3.49 pbc="T T T"
Li 0.000 1.509 1.057
Li 2.889 1.509 3.448
Ge 1.445 1.509 -2.253
Ge 1.445 -1.509 2.253
Pd 2.889 0.000 0.000
Pd 0.000 0.000 4.505
O 2.889 2.807 -2.284
O 1.521 1.509 -0.311
O 4.258 1.509 -0.311
O 2.889 -0.212 2.284
O 0.000 3.231 2.221
O -1.369 1.509 4.816
O 1.369 1.509 4.816
O 0.000 0.212 6.789

=====

Record 2
5
Lattice="4.861 0.000 0.000 0.000 4.861 0.000 0.000 0.000 4.123" Properties=species:S:1:pos:R:3 comment="LiPm2GeO | Alexandria | PBE | optimized geometry" total_energy_ev_per_atom=-5.721 raw_formation_energy_kcal_per_mol_atoms=-35.1 dos_ef_per_ev_cell=1.91 pbc="T T T"
Li 0.000 0.000 0.000
Pm 0.000 2.430 2.061
Pm 2.430 0.000 2.061
Ge 2.430 2.430 0.000
O 0.000 0.000 2.061

=====

Record 3
14
Lattice="-3.032 3.635 4.132 3.032 -3.635 4.132 3.032 3.635 -4.132" Properties=species:S:1:pos:R:3 comment="LiPmGeO4 | Alexandria | PBE | optimized geometry" total_energy_ev_per_atom=-6.764 raw_formation_energy_kcal_per_mol_atoms=-53.5 dos_ef_per_ev_cell=0.00 pbc="T T T"
Li -1.516 1.818 2.066
Li 1.516 1.818 2.066
Pm 0.000 0.000 0.000
Pm 0.000 3.635 0.000
Ge 3.032 1.818 -0.888
Ge 0.000 1.818 5.021
O 3.032 -0.319 1.831
O 3.032 3.317 -1.831
O 1.530 1.818 0.160
O 4.533 1.818 0.160
O -1.501 1.818 3.972
O 1.501 1.818 3.972
O 0.000 0.319 5.964
O 0.000 3.954 2.301

=====

Record 4
20
Lattice="5.239 -4.935 0.000 5.239 4.935 0.000 -2.082 0.000 5.418" Properties=species:S:1:pos:R:3 comment="LiPmGe2O6 | Alexandria | PBE | optimized geometry" total_energy_ev_per_atom=-6.770 raw_formation_energy_kcal_per_mol_atoms=-50.9 dos_ef_per_ev_cell=0.00 pbc="T T T"
Li 3.677 2.701 4.063
Li 4.718 -2.701 1.354
Pm 4.718 3.729 1.354
Pm 3.677 -3.729 4.063
Ge 2.543 0.800 1.623
Ge 1.502 -0.800 4.331
Ge 6.893 0.800 1.086
Ge 5.852 -0.800 3.795
O 0.903 0.784 0.928
O 3.148 2.320 2.207
O -0.138 -0.784 3.637
O 3.626 0.426 0.218
O 6.288 2.320 0.502
O 2.585 -0.426 2.927
O 5.810 0.426 2.491
O 2.107 -2.320 4.916
O 4.769 -0.426 5.199
O 8.533 0.784 1.781
O 5.247 -2.320 3.211
O 7.492 -0.784 4.489

=====

Record 5
11
Lattice="2.910 -5.116 0.000 2.910 5.116 0.000 -1.053 0.000 5.044" Properties=species:S:1:pos:R:3 comment="Li2Pm2GeO6 | Alexandria | PBE | optimized geometry" total_energy_ev_per_atom=-6.746 raw_formation_energy_kcal_per_mol_atoms=-55.6 dos_ef_per_ev_cell=0.00 pbc="T T T"
Li 2.910 3.939 0.000
Li 2.910 -3.939 0.000
Pm 2.383 1.683 2.522
Pm 2.383 -1.683 2.522
Ge -0.526 0.000 2.522
O 0.277 1.503 3.587
O 1.009 0.000 1.404
O 0.277 -1.503 3.587
O 4.489 1.503 1.457
O 3.757 0.000 3.640
O 4.489 -1.503 1.457

=====

Record 6
16
Lattice="5.461 -3.409 0.000 5.461 3.409 0.000 -3.362 0.000 5.505" Properties=species:S:1:pos:R:3 comment="Li4Pm3GeO8 | Alexandria | PBE | optimized geometry" total_energy_ev_per_atom=-6.450 raw_formation_energy_kcal_per_mol_atoms=-53.3 dos_ef_per_ev_cell=1.15 pbc="T T T"
Li 0.000 0.000 0.000
Li 1.050 1.704 2.753
Li 1.050 -1.704 2.753
Li 5.461 0.000 0.000
Pm -1.681 0.000 2.753
Pm 2.731 1.704 0.000
Pm 2.731 -1.704 0.000
Ge 3.780 0.000 2.753
O 0.170 0.000 4.150
O 2.006 0.000 1.482
O 2.982 1.572 4.026
O 4.578 1.572 1.480
O 2.982 -1.572 4.026
O 4.578 -1.572 1.480
O 5.554 0.000 4.024
O 7.390 0.000 1.355

=====

Record 7
18
Lattice="6.727 0.000 0.000 0.000 6.727 0.000 0.000 0.000 5.785" Properties=species:S:1:pos:R:3 comment="LiPm2GeO5 | Alexandria | PBE | optimized geometry" total_energy_ev_per_atom=-6.800 raw_formation_energy_kcal_per_mol_atoms=-52.2 dos_ef_per_ev_cell=3.55 pbc="T T T"
Li 0.000 0.000 0.000
Li 3.363 3.363 0.000
Pm 1.192 2.171 2.893
Pm 2.171 5.534 2.893
Pm 4.556 1.192 2.893
Pm 5.534 4.556 2.893
Ge 0.000 3.363 0.000
Ge 3.363 0.000 0.000
O 0.000 0.000 2.893
O 0.917 4.280 1.409
O 0.917 4.280 4.376
O 2.446 0.917 1.409
O 2.446 0.917 4.376
O 3.363 3.363 2.893
O 4.280 5.810 1.409
O 4.280 5.810 4.376
O 5.810 2.446 1.409
O 5.810 2.446 4.376

=====

Record 8
5
Lattice="4.963 0.000 0.000 0.000 4.963 0.000 0.000 0.000 4.147" Properties=species:S:1:pos:R:3 comment="LiPr2GeO | Alexandria | PBE | optimized geometry" total_energy_ev_per_atom=-5.689 raw_formation_energy_kcal_per_mol_atoms=-34.1 dos_ef_per_ev_cell=2.01 pbc="T T T"
Li 0.000 0.000 0.000
Pr 0.000 2.481 2.073
Pr 2.481 0.000 2.073
Ge 2.481 2.481 0.000
O 0.000 0.000 2.073

=====

Record 9
18
Lattice="6.855 0.000 0.000 0.000 6.855 0.000 0.000 0.000 5.812" Properties=species:S:1:pos:R:3 comment="LiPr2GeO5 | Alexandria | PBE | optimized geometry" total_energy_ev_per_atom=-6.755 raw_formation_energy_kcal_per_mol_atoms=-51.0 dos_ef_per_ev_cell=3.63 pbc="T T T"
Li 0.000 0.000 0.000
Li 3.428 3.428 0.000
Pr 1.218 2.209 2.906
Pr 2.209 5.637 2.906
Pr 4.646 1.218 2.906
Pr 5.637 4.646 2.906
Ge 0.000 3.428 0.000
Ge 3.428 0.000 0.000
O 0.000 0.000 2.906
O 0.923 4.351 1.401
O 0.923 4.351 4.411
O 2.505 0.923 1.401
O 2.505 0.923 4.411
O 3.428 3.428 2.906
O 4.351 5.932 1.401
O 4.351 5.932 4.411
O 5.932 2.505 1.401
O 5.932 2.505 4.411

=====

Record 10
16
Lattice="1.828 -5.762 0.000 1.828 5.762 0.000 0.000 0.000 9.496" Properties=species:S:1:pos:R:3 comment="Li2PrGeO4 | Alexandria | PBE | optimized geometry" total_energy_ev_per_atom=-6.152 raw_formation_energy_kcal_per_mol_atoms=-46.6 dos_ef_per_ev_cell=1.86 pbc="T T T"
Li 1.828 4.601 5.122
Li 1.828 4.601 9.122
Li 1.828 -4.601 0.374
Li 1.828 -4.601 4.374
Pr 1.828 0.866 7.122
Pr 1.828 -0.866 2.374
Ge 1.828 2.280 2.374
Ge 1.828 -2.280 7.122
O 1.828 4.316 7.122
O 1.828 3.619 1.156
O 1.828 3.619 3.592
O 1.828 0.000 0.000
O 1.828 0.000 4.748
O 1.828 -3.619 5.904
O 1.828 -3.619 8.340
O 1.828 -4.316 2.374

=====

Record 11
20
Lattice="5.469 0.000 0.000 0.000 5.732 0.000 -5.319 0.000 7.737" Properties=species:S:1:pos:R:3 comment="LiPr2GeO6 | Alexandria | PBE | optimized geometry" total_energy_ev_per_atom=-7.043 raw_formation_energy_kcal_per_mol_atoms=-56.7 dos_ef_per_ev_cell=11.86 pbc="T T T"
Li 0.000 0.000 0.000
Li -2.659 2.866 3.869
Pr -2.715 0.358 5.788
Pr -0.055 2.508 1.920
Pr 0.206 3.224 5.817
Pr 2.865 5.374 1.949
Ge 0.075 0.000 3.869
Ge 2.735 2.866 0.000
O -1.474 1.087 3.546
O -4.134 1.779 7.414
O -0.961 4.143 3.505
O -3.621 4.455 7.374
O 0.505 0.128 2.018
O -2.154 2.738 5.887
O 2.305 2.994 1.850
O -0.354 5.604 5.719
O 3.771 1.277 0.363
O 1.112 1.589 4.232
O 4.284 3.953 0.323
O 1.625 4.645 4.191

=====

Record 12
14
Lattice="-2.878 3.058 4.606 2.878 -3.058 4.606 2.878 3.058 -4.606" Properties=species:S:1:pos:R:3 comment="LiGePtO4 | Alexandria | PBE | optimized geometry" total_energy_ev_per_atom=-5.877 raw_formation_energy_kcal_per_mol_atoms=-28.8 dos_ef_per_ev_cell=1.07 pbc="T T T"
Li 0.000 1.529 1.068
Li 2.878 1.529 3.537
Ge 1.439 1.529 -2.303
Ge 1.439 -1.529 2.303
Pt 2.878 0.000 0.000
Pt 0.000 0.000 4.606
O 2.878 2.826 -2.362
O 1.538 1.529 -0.341
O 4.219 1.529 -0.341
O 2.878 -0.232 2.362
O 0.000 3.289 2.244
O -1.340 1.529 4.947
O 1.340 1.529 4.947
O 0.000 0.232 6.968

=====

Record 13
20
Lattice="4.957 -4.556 0.000 4.957 4.556 0.000 -0.986 0.000 5.121" Properties=species:S:1:pos:R:3 comment="LiGe2PtO6 | Alexandria | PBE | optimized geometry" total_energy_ev_per_atom=-5.965 raw_formation_energy_kcal_per_mol_atoms=-29.3 dos_ef_per_ev_cell=4.65 pbc="T T T"
Li 4.217 3.771 3.841
Li 4.710 -3.771 1.280
Ge 2.254 0.886 3.705
Ge 2.747 -0.886 1.144
Ge 6.181 0.886 3.977
Ge 6.674 -0.886 1.416
Pt 4.710 2.092 1.280
Pt 4.217 -2.092 3.841
O 0.566 0.907 3.214
O 2.915 2.270 4.545
O 1.059 -0.907 0.653
O 3.170 0.633 2.111
O 5.520 2.270 3.136
O 2.677 -0.633 4.672
O 6.250 0.633 0.449
O 3.408 -2.270 1.985
O 5.758 -0.633 3.010
O 7.868 0.907 4.468
O 6.013 -2.270 0.576
O 8.361 -0.907 1.907

=====

Record 14
5
Lattice="3.540 0.000 0.000 0.000 3.540 0.000 0.000 0.000 7.697" Properties=species:S:1:pos:R:3 comment="LiGePtO2 | Alexandria | PBE | optimized geometry" total_energy_ev_per_atom=-4.638 raw_formation_energy_kcal_per_mol_atoms=-3.2 dos_ef_per_ev_cell=2.49 pbc="T T T"
Li 0.000 0.000 0.000
Ge 0.000 0.000 3.848
Pt 1.770 1.770 0.000
O 0.000 1.770 3.848
O 1.770 0.000 3.848

=====

Record 15
12
Lattice="-3.428 3.428 3.186 3.428 -3.428 3.186 3.428 3.428 -3.186" Properties=species:S:1:pos:R:3 comment="LiPuGe2O8 | Alexandria | PBE | optimized geometry" total_energy_ev_per_atom=-7.059 raw_formation_energy_kcal_per_mol_atoms=-37.6 dos_ef_per_ev_cell=6.13 pbc="T T T"
Li 0.000 0.000 0.000
Pu 3.428 0.000 1.593
Ge 0.000 0.000 3.186
Ge 0.000 3.428 1.593
O 2.059 3.428 -1.109
O 1.370 0.000 2.077
O 0.000 2.149 0.356
O 3.428 2.059 1.109
O 0.000 4.707 0.356
O 0.000 1.370 4.295
O -1.279 3.428 2.830
O 1.279 3.428 2.830

=====

Record 16
10
Lattice="5.557 0.000 0.000 0.000 5.557 0.000 0.000 0.000 4.134" Properties=species:S:1:pos:R:3 comment="Li2PuGeO6 | Alexandria | PBE | optimized geometry" total_energy_ev_per_atom=-7.192 raw_formation_energy_kcal_per_mol_atoms=-44.7 dos_ef_per_ev_cell=3.40 pbc="T T T"
Li 0.000 2.779 0.000
Li 2.779 0.000 0.000
Pu 0.000 0.000 3.056
Ge 2.779 2.779 2.837
O 0.000 0.000 1.015
O 1.449 1.449 3.228
O 1.449 4.109 3.228
O 2.779 2.779 1.077
O 4.109 1.449 3.228
O 4.109 4.109 3.228

=====

Record 17
18
Lattice="5.177 0.000 0.000 -2.589 4.484 0.000 0.000 0.000 9.499" Properties=species:S:1:pos:R:3 comment="LiPuGeO6 | Alexandria | PBE | optimized geometry" total_energy_ev_per_atom=-7.496 raw_formation_energy_kcal_per_mol_atoms=-43.2 pbc="T T T"
Li 0.000 0.000 0.000
Li 0.000 0.000 4.749
Pu 0.000 2.989 2.375
Pu 2.589 1.495 7.124
Ge 0.000 2.989 7.124
Ge 2.589 1.495 2.375
O -0.865 1.624 6.061
O -1.614 2.922 8.188
O 0.865 1.624 8.188
O -0.749 4.421 6.061
O 1.839 0.063 1.311
O 0.974 1.561 3.438
O 1.614 2.922 6.061
O 0.749 4.421 8.188
O 3.338 0.063 3.438
O 1.724 2.859 1.311
O 4.203 1.561 1.311
O 3.454 2.859 3.438

=====

Record 18
12
Lattice="2.833 -5.214 0.000 2.833 5.214 0.000 0.000 0.000 5.408" Properties=species:S:1:pos:R:3 comment="RbLiGeO3 | Alexandria | PBE | optimized geometry" total_energy_ev_per_atom=-5.497 raw_formation_energy_kcal_per_mol_atoms=-40.8 dos_ef_per_ev_cell=0.00 pbc="T T T"
Rb 2.833 2.819 4.056
Rb 2.833 -2.819 1.352
Li 2.833 4.359 1.352
Li 2.833 -4.359 4.056
Ge 2.833 0.583 1.352
Ge 2.833 -0.583 4.056
O 2.833 2.333 1.352
O 1.579 0.000 0.000
O 1.579 0.000 2.704
O 4.087 0.000 0.000
O 4.087 0.000 2.704
O 2.833 -2.333 4.056

=====

Record 19
8
Lattice="-3.438 3.438 2.982 3.438 -3.438 2.982 3.438 3.438 -2.982" Properties=species:S:1:pos:R:3 comment="Rb2LiGeO4 | Alexandria | PBE | optimized geometry" total_energy_ev_per_atom=-4.956 raw_formation_energy_kcal_per_mol_atoms=-32.7 dos_ef_per_ev_cell=6.40 pbc="T T T"
Rb 3.438 0.000 0.000
Rb 0.000 3.438 0.000
Li 0.000 0.000 0.000
Ge 0.000 0.000 2.982
O 2.520 2.520 -1.241
O 0.917 0.917 1.741
O 0.917 -0.917 4.223
O -0.917 0.917 4.223